The following is a DFT calculation (meta-GGA SCAN) of a crystal of BeOsPb2 relaxed with PBEsol.

Structure (POSCAR):
```
BeOsPb2
1.0
-1.627 2.054 6.165
1.627 -2.054 6.165
1.627 2.054 -6.165
Be Os Pb
1 1 2
Cartesian
0.000 0.000 0.000 Be
0.000 2.054 4.671 Os
1.627 0.000 3.582 Pb
0.000 0.000 6.888 Pb
```

Calculated values
The energy of formation from the pure elements comes out at 0.5685 eV/atom. For the total magnetization, the calculation gives 0.00 μB per cell.

---

The following is a DFT calculation (meta-GGA SCAN) of a crystal of BeOs2Pb relaxed with PBEsol.

Structure (POSCAR):
```
BeOs2Pb
1.0
1.444 -2.472 0.000
1.444 2.472 0.000
0.000 0.000 9.202
Be Os Pb
1 2 1
Cartesian
0.000 0.000 0.000 Be
0.000 0.000 3.913 Os
1.444 0.000 1.770 Os
1.444 0.000 6.516 Pb
```

Calculated values
The energy of formation from the pure elements comes out at 0.9626 eV/atom. For the total magnetization, the calculation gives 1.27 μB per cell.

---

The following is a DFT calculation (meta-GGA SCAN) of a crystal of BeSnOsPd2 relaxed with PBEsol.

Structure (POSCAR):
```
BeSnOsPd2
1.0
4.815 0.000 0.000
0.000 4.815 0.000
0.000 0.000 4.172
Be Sn Os Pd
1 1 1 2
Cartesian
0.000 0.000 0.000 Be
2.408 2.408 0.000 Sn
0.000 0.000 2.086 Os
0.000 2.408 2.086 Pd
2.408 0.000 2.086 Pd
```

Calculated values
The energy of formation from the pure elements comes out at 0.9776 eV/atom. For the total magnetization, the calculation gives 0.00 μB per cell.